# Fe2HgRh2, optimized geometry, DFT PBE
# Energy relative to the lowest polymorph listed for this composition, meV per atom: 0
# Crystal system: tetragonal
# ΔE_f, eV per atom: 0.141
# DOS(E_F), states/eV/f.u.: 3.32
data_Fe2HgRh2
_chemical_formula_sum 'Fe4 Hg2 Rh4'
_cell_length_a 7.342
_cell_length_b 7.342
_cell_length_c 2.850
_cell_angle_alpha 90.00
_cell_angle_beta 90.00
_cell_angle_gamma 90.00
_space_group_name_H-M_alt 'P 4/m b m'
_space_group_IT_number 127
_space_group_name_Hall '-P 4 2ab'
loop_
_atom_site_label
_atom_site_fract_x
_atom_site_fract_y
_atom_site_fract_z
_atom_site_occupancy
Fe1 0.157 0.343 0.000 1
Hg1 0.000 0.000 0.500 1
Rh1 0.136 0.636 0.500 1


# SmHg7, optimized geometry, DFT PBE
# Energy relative to the lowest polymorph listed for this composition, meV per atom: 43
# Crystal system: cubic
# ΔE_f, eV per atom: -0.121
# DOS(E_F), states/eV/f.u.: 6.86
data_SmHg7
_chemical_formula_sum 'Sm4 Hg28'
_cell_length_a 9.441
_cell_length_b 9.441
_cell_length_c 9.441
_cell_angle_alpha 90.00
_cell_angle_beta 90.00
_cell_angle_gamma 90.00
_space_group_name_H-M_alt 'F m -3 m'
_space_group_IT_number 225
_space_group_name_Hall '-F 4 2 3'
loop_
_atom_site_label
_atom_site_fract_x
_atom_site_fract_y
_atom_site_fract_z
_atom_site_occupancy
Sm1 0.000 0.000 0.000 1
Hg1 0.000 0.000 0.500 1
Hg2 0.000 0.250 0.250 1


# InCo2As, optimized geometry, DFT PBE
# Energy relative to the lowest polymorph listed for this composition, meV per atom: 248
# Crystal system: tetragonal
# ΔE_f, eV per atom: 0.276
# DOS(E_F), states/eV/f.u.: 4.88
data_InCo2As
_chemical_formula_sum 'In2 Co4 As2'
_cell_length_a 3.627
_cell_length_b 3.627
_cell_length_c 8.825
_cell_angle_alpha 90.00
_cell_angle_beta 90.00
_cell_angle_gamma 90.00
_space_group_name_H-M_alt 'I -4 m 2'
_space_group_IT_number 119
_space_group_name_Hall 'I -4 -2'
loop_
_atom_site_label
_atom_site_fract_x
_atom_site_fract_y
_atom_site_fract_z
_atom_site_occupancy
In1 0.000 0.000 0.000 1
Co1 0.000 0.000 0.500 1
Co2 0.000 0.500 0.250 1
As1 0.000 0.500 0.750 1


# KLiH2, optimized geometry, DFT PBE
# Energy relative to the lowest polymorph listed for this composition, meV per atom: 122
# Crystal system: trigonal
# DOS(E_F), states/eV/f.u.: 0.00
data_KLiH2
_chemical_formula_sum 'K3 Li3 H6'
_cell_length_a 3.3554
_cell_length_b 3.3554
_cell_length_c 17.8164
_cell_angle_alpha 90.00
_cell_angle_beta 90.00
_cell_angle_gamma 120.00
_space_group_name_H-M_alt 'R 3 m'
_space_group_IT_number 160
_space_group_name_Hall 'R 3 -2"'
loop_
_atom_site_label
_atom_site_fract_x
_atom_site_fract_y
_atom_site_fract_z
_atom_site_occupancy
K1 0.0000 0.0000 0.0000 1
Li1 0.0000 0.0000 0.8304 1
H1 0.0000 0.0000 0.2290 1
H2 0.0000 0.0000 0.4331 1